[1]
BaNa2Au2: relaxed, GGA-PBE.

abc: 4.508 4.508 7.192
angles: 90.00 90.00 90.00
Space group P4/mmm (No. 123)
Asymmetric unit:
Ba 0.000 0.000 0.000 x1
Na 0.000 0.500 0.500 x2
Au 0.500 0.500 0.200 x2

Properties
Its volume is 146.1 Å³/cell. Its relative energy among the computed polymorphs is 11 meV per atom.

[2]
BaNa3Au3: relaxed, GGA-PBE.

abc: 7.846 7.846 7.846
angles: 90.00 90.00 90.00
Space group Pm-3n (No. 223)
Asymmetric unit:
Ba 0.000 0.000 0.000 x2
Na 0.000 0.250 0.500 x6
Au 0.000 0.500 0.250 x6

Properties
Its volume is 483.0 Å³/cell. Its relative energy among the computed polymorphs is 338 meV per atom.

[3]
BaNa3Au8: relaxed, GGA-PBE.

abc: 5.6524 5.6524 28.8533
angles: 90.00 90.00 120.00
Space group R3m (No. 160, hexagonal axes)
Asymmetric unit:
Ba 0.0000 0.0000 0.0000 x3
Na 0.0000 0.0000 0.3876 x3
Na 0.0000 0.0000 0.5026 x3
Na 0.0000 0.0000 0.8701 x3
Au 0.0000 0.0000 0.1869 x3
Au 0.0000 0.0000 0.6883 x3
Au 0.0018 0.5009 0.4395 x9
Au 0.1672 0.3344 0.2676 x9

Properties
Its volume is 798.3 Å³/cell.

[4]
Ba2NaAu3: relaxed, GGA-PBE.

abc: 8.613 9.963 17.198
angles: 90.00 90.00 90.00
Space group Fmmm (No. 69)
Asymmetric unit:
Ba 0.242 0.000 0.000 x8
Ba 0.250 0.250 0.250 x8
Na 0.000 0.000 0.334 x8
Au 0.000 0.000 0.168 x8
Au 0.000 0.248 0.416 x16

Properties
Its volume is 1475.8 Å³/cell. Its relative energy among the computed polymorphs is 19 meV per atom.

[5]
BaNa2Au6: relaxed, GGA-PBE.

abc: 4.043 7.930 13.859
angles: 90.00 90.00 90.00
Space group Immm (No. 71)
Asymmetric unit:
Ba 0.000 0.000 0.000 x2
Na 0.000 0.500 0.134 x4
Au 0.000 0.174 0.500 x4
Au 0.000 0.314 0.317 x8

Properties
Its volume is 444.4 Å³/cell.

[6]
Ba2Na3Au6: relaxed, GGA-PBE.

abc: 10.715 13.095 4.394
angles: 90.00 90.00 90.00
Space group Cmmm (No. 65)
Asymmetric unit:
Ba 0.000 0.197 0.000 x4
Na 0.000 0.500 0.500 x2
Na 0.199 0.500 0.000 x4
Au 0.125 0.000 0.500 x4
Au 0.190 0.342 0.500 x8

Properties
Its volume is 616.5 Å³/cell.

[7]
Ba2Na2Au: relaxed, GGA-PBE.

abc: 4.272 4.272 21.758
angles: 90.00 90.00 90.00
Space group I4/mmm (No. 139)
Asymmetric unit:
Ba 0.000 0.000 0.085 x4
Na 0.000 0.500 0.250 x4
Au 0.000 0.000 0.500 x2

Properties
Its volume is 397.1 Å³/cell. Its relative energy among the computed polymorphs is 0 meV per atom.

[8]
Ba4Na3Au2: relaxed, GGA-PBE.

abc: 12.572 4.597 13.149
angles: 90.00 91.36 90.00
Space group C2/m (No. 12)
Asymmetric unit:
Ba 0.054 0.000 0.311 x4
Ba 0.187 0.500 0.875 x4
Na 0.000 0.000 0.000 x2
Na 0.157 0.500 0.549 x4
Au 0.108 0.500 0.131 x4

Properties
Its volume is 759.7 Å³/cell.

[9]
Ba6NaAu4: relaxed, GGA-PBE.

abc: 4.827 15.926 25.077
angles: 90.00 90.00 90.00
Space group Cmcm (No. 63)
Asymmetric unit:
Ba 0.000 0.000 0.000 x4
Ba 0.000 0.150 0.250 x4
Ba 0.000 0.271 0.581 x8
Ba 0.000 0.465 0.150 x8
Na 0.000 0.152 0.750 x4
Au 0.000 0.097 0.123 x8
Au 0.000 0.362 0.038 x8

Properties
Its volume is 1927.6 Å³/cell.

[10]
Ba7NaAu2: relaxed, GGA-PBE.

abc: 10.886 16.691 6.319
angles: 90.00 90.00 90.00
Space group Cmmm (No. 65)
Asymmetric unit:
Ba 0.000 0.000 0.000 x2
Ba 0.000 0.202 0.500 x4
Ba 0.190 0.364 0.000 x8
Na 0.000 0.500 0.500 x2
Au 0.000 0.202 0.000 x4

Properties
Its volume is 1148.1 Å³/cell.

[11]
BaNa3Au: relaxed, GGA-PBE.

abc: 5.751 5.751 5.751
angles: 90.00 90.00 90.00
Space group Pm-3m (No. 221)
Asymmetric unit:
Ba 0.000 0.000 0.000 x1
Na 0.000 0.500 0.500 x3
Au 0.500 0.500 0.500 x1

Properties
Its volume is 190.2 Å³/cell. Its relative energy among the computed polymorphs is 113 meV per atom.

[12]
BaNa12Au6: relaxed, GGA-PBE.

abc: 13.0767 13.0767 11.1170
angles: 90.00 90.00 120.00
Space group R-3m (No. 166, hexagonal axes)
Asymmetric unit:
Ba 0.0000 0.0000 0.0000 x3
Na 0.0000 0.3846 0.5000 x18
Na 0.0913 0.1826 0.3634 x18
Au 0.0072 0.5036 0.2699 x18

Properties
Its volume is 1646.3 Å³/cell.

no.,E (eV/cell),DFT formation energy (eV per atom)
1,-13.42,-0.46
2,-32.66,-0.09
3,-111.23,-0.41
4,-147.65,-0.58
5,-54.59,-0.34
6,-64.12,-0.42
7,-21.57,-0.21
8,-41.62,-0.29
9,-126.82,-0.52
10,-46.91,-0.21
11,-9.52,-0.07
12,-124.55,-0.22